# 1
A relaxed Sb2MoRu2 crystal, computed with PBE-GGA.

E above lowest polymorph   341 meV/atom
Total magnetization   6.66 Bohr magnetons per cell

Lattice parameters (Å, degrees): 4.325 4.325 10.845 90.00 90.00 90.00
Space group I4/mmm (No. 139)
Asymmetric unit:
Sb 0.000 0.000 0.125 [4 per cell]
Mo 0.000 0.000 0.500 [2 per cell]
Ru 0.000 0.500 0.250 [4 per cell]


# 2
A relaxed SbMoRu2 crystal, computed with PBE-GGA.

Total magnetization   0.00 Bohr magnetons per cell

Lattice parameters (Å, degrees): 2.9547 2.9547 25.9492 90.00 90.00 120.00
Space group R3m (No. 160, hexagonal axes)
Asymmetric unit:
Sb 0.0000 0.0000 0.0000 [3 per cell]
Mo 0.0000 0.0000 0.7568 [3 per cell]
Ru 0.0000 0.0000 0.2525 [3 per cell]
Ru 0.0000 0.0000 0.5021 [3 per cell]


# 3
A relaxed SbMo2Ru crystal, computed with PBE-GGA.

Total magnetization   0.00 Bohr magnetons per cell

Lattice parameters (Å, degrees): 3.425 4.349 8.816 90.00 90.00 90.00
Space group Imm2 (No. 44)
Asymmetric unit:
Sb 0.000 0.000 0.000 [2 per cell]
Mo 0.000 0.000 0.499 [2 per cell]
Mo 0.000 0.500 0.755 [2 per cell]
Ru 0.000 0.500 0.261 [2 per cell]


# 4
A relaxed SbMoRu2 crystal, computed with PBE-GGA.

Total magnetization   0.00 Bohr magnetons per cell

Lattice parameters (Å, degrees): 9.271 3.005 4.721 90.00 101.45 90.00
Space group Cm (No. 8)
Asymmetric unit:
Sb 0.000 0.000 0.000 [2 per cell]
Mo 0.260 0.500 0.340 [2 per cell]
Ru 0.254 0.000 0.813 [2 per cell]
Ru 0.498 0.000 0.494 [2 per cell]


# 5
A relaxed SbMo2Ru crystal, computed with PBE-GGA.

Total magnetization   0.00 Bohr magnetons per cell

Lattice parameters (Å, degrees): 2.9591 2.9591 26.6959 90.00 90.00 120.00
Space group R-3m (No. 166, hexagonal axes)
Asymmetric unit:
Sb 0.0000 0.0000 0.0000 [3 per cell]
Mo 0.0000 0.0000 0.2455 [6 per cell]
Ru 0.0000 0.0000 0.5000 [3 per cell]


# 6
A relaxed SbMoRu2 crystal, computed with PBE-GGA.

Total magnetization   1.40 Bohr magnetons per cell

Lattice parameters (Å, degrees): 4.198 4.198 3.648 90.00 90.00 90.00
Space group P4/mmm (No. 123)
Asymmetric unit:
Sb 0.000 0.000 0.000 [1 per cell]
Mo 0.500 0.500 0.000 [1 per cell]
Ru 0.000 0.500 0.500 [2 per cell]


# 7
A relaxed SbMoRu2 crystal, computed with PBE-GGA.

Total magnetization   0.00 Bohr magnetons per cell

Lattice parameters (Å, degrees): 2.953 3.818 5.691 90.00 90.00 90.00
Space group Pmmm (No. 47)
Asymmetric unit:
Sb 0.000 0.000 0.000 [1 per cell]
Mo 0.000 0.000 0.500 [1 per cell]
Ru 0.500 0.500 0.263 [2 per cell]


# 8
A relaxed SbMoRu2 crystal, computed with PBE-GGA.

Total magnetization   0.00 Bohr magnetons per cell

Lattice parameters (Å, degrees): 5.860 7.326 2.962 90.00 90.00 90.00
Space group Cmmm (No. 65)
Asymmetric unit:
Sb 0.000 0.000 0.000 [2 per cell]
Mo 0.000 0.500 0.000 [2 per cell]
Ru 0.250 0.250 0.500 [4 per cell]


# 9
A relaxed SbMo2Ru crystal, computed with PBE-GGA.

Total magnetization   0.00 Bohr magnetons per cell

Lattice parameters (Å, degrees): 3.774 3.774 4.634 90.00 90.00 90.00
Space group P4/mmm (No. 123)
Asymmetric unit:
Sb 0.000 0.000 0.000 [1 per cell]
Mo 0.000 0.500 0.500 [2 per cell]
Ru 0.500 0.500 0.000 [1 per cell]


# 10
A relaxed SbMoRu2 crystal, computed with PBE-GGA.

Total magnetization   0.00 Bohr magnetons per cell

Lattice parameters (Å, degrees): 3.183 4.544 8.815 90.00 90.00 90.00
Space group Immm (No. 71)
Asymmetric unit:
Sb 0.000 0.000 0.000 [2 per cell]
Mo 0.000 0.000 0.500 [2 per cell]
Ru 0.000 0.500 0.262 [4 per cell]


# 11
A relaxed SbMoRu2 crystal, computed with PBE-GGA.

Total magnetization   3.92 Bohr magnetons per cell

Lattice parameters (Å, degrees): 6.351 6.351 6.351 90.00 90.00 90.00
Space group F-43m (No. 216)
Asymmetric unit:
Sb 0.000 0.000 0.000 [4 per cell]
Mo 0.250 0.250 0.750 [4 per cell]
Ru 0.000 0.000 0.500 [4 per cell]
Ru 0.250 0.250 0.250 [4 per cell]


# 12
A relaxed SbMo2Ru crystal, computed with PBE-GGA.

Total magnetization   0.00 Bohr magnetons per cell

Lattice parameters (Å, degrees): 4.686 4.686 3.019 90.00 90.00 90.00
Space group P4/mmm (No. 123)
Asymmetric unit:
Sb 0.000 0.000 0.000 [1 per cell]
Mo 0.000 0.500 0.500 [2 per cell]
Ru 0.500 0.500 0.000 [1 per cell]


no.,E_form (uncorrected) (eV per atom)
1,0.6337
2,0.3766
3,0.2082
4,0.1594
5,0.4027
6,0.2673
7,0.1528
8,0.1848
9,0.2343
10,0.2258
11,0.2688
12,0.3784